The following is a PBE calculation of crystalline ZrScAl2H at its relaxed geometry, from Alexandria.

Lattice parameters (Å, degrees): 5.2901 5.1378 5.2901 90.00 90.00 90.00
With the nearest neighbours (Å) after each atom.
Atoms (fractional coordinates):
1 Sc 0.0000 0.5000 0.0000  2 Zr 2.57
2 H 0.5000 0.5000 0.5000  8 Al 3.69, 4 Sc 3.74
3 Al 0.0000 0.0000 0.5000  2 Zr 2.65
4 Al 0.5000 0.0000 0.0000  2 Zr 2.65
5 Zr 0.0000 0.0000 0.0000  2 Sc 2.57, 4 Al 2.65

Properties
The value obtained for the total energy is -3.804 eV per atom. For the mass density, the calculation gives 2.2 g/cm³.